TlRhSeO5 GGA-PBE relaxed; E_form (uncorrected) = -0.542 eV/atom; E_tot = -42.33 eV per formula unit
1.0
7.5677 -0.9203 -0.5253
-3.0893 6.9695 -0.5253
-2.6021 -3.5147 6.3679
O Rh Se Tl
10 2 2 2
direct
0.5929 0.0807 0.4095
0.9071 0.0929 0.7500
0.5915 0.8402 0.9660
0.4071 0.9193 0.5905
0.4085 0.1598 0.0340
0.9193 0.4071 0.0905
0.1598 0.4085 0.5340
0.0929 0.9071 0.2500
0.0807 0.5929 0.9095
0.8402 0.5915 0.4660
0.7648 0.2352 0.7500
0.2352 0.7648 0.2500
0.7018 0.2982 0.2500
0.2982 0.7018 0.7500
0.0000 0.0000 0.0000
0.0000 0.0000 0.5000

=====

SiRh2O GGA-PBE relaxed; relative energy among the computed polymorphs = 0 meV/atom; E_form (uncorrected) = -0.211 eV/atom; E_tot = -25.93 eV per formula unit
1.0
4.6329 0.0000 0.0000
0.0000 4.6329 0.0000
2.3165 2.3165 5.7469
Rh Si O
4 2 2
direct
0.8750 0.8139 0.7500
0.3750 0.4361 0.7500
0.1861 0.6250 0.2500
0.5639 0.1250 0.2500
0.7500 0.2500 0.5000
0.0000 0.0000 0.0000
0.5000 0.5000 0.0000
0.2500 0.7500 0.5000

=====

SiRh3O GGA-PBE relaxed; relative energy among the computed polymorphs = 0 meV/atom; E_form (uncorrected) = 0.215 eV/atom; E_tot = -31.36 eV per formula unit
1.0
4.0898 0.0000 0.0000
0.0000 4.0898 0.0000
0.0000 0.0000 4.0898
Rh Si O
3 1 1
direct
0.0000 0.0000 0.5000
0.5000 0.0000 0.0000
0.0000 0.5000 0.0000
0.5000 0.5000 0.5000
0.0000 0.0000 0.0000

=====

SiRhO GGA-PBE relaxed; relative energy among the computed polymorphs = 101 meV/atom; E_form (uncorrected) = -1.104 eV/atom; E_tot = -21.05 eV per formula unit
1.0
-2.8010 -0.7978 0.4809
-1.1019 -3.8526 -3.7396
4.1703 -0.3102 5.6420
O Si Rh
2 2 2
direct
0.0019 0.6918 0.8480
0.9981 0.3082 0.1520
0.0001 0.6897 0.3450
0.9999 0.3103 0.6550
0.2822 0.0028 0.2839
0.7178 0.9972 0.7161

=====

SiRhO GGA-PBE relaxed; relative energy among the computed polymorphs = 0 meV/atom; E_form (uncorrected) = -1.205 eV/atom; E_tot = -21.35 eV per formula unit
1.0
2.7658 0.0000 0.0000
-1.3829 2.3952 0.0000
0.0000 0.0000 6.3006
O Rh Si
1 1 1
direct
0.3333 0.6667 0.5265
0.0000 0.0000 0.0975
0.6667 0.3333 0.3760

=====

SiRh6O12 GGA-PBE relaxed; E_form (uncorrected) = -0.779 eV/atom; E_tot = -123.84 eV per formula unit
1.0
5.8882 -0.0048 -0.0058
-0.8974 5.8194 -0.0058
-0.8974 -1.0456 5.7247
Rh O Si
6 12 1
direct
0.5715 0.2862 0.1386
0.7138 0.8614 0.4285
0.2862 0.1386 0.5715
0.1386 0.5715 0.2862
0.8614 0.4285 0.7138
0.4285 0.7138 0.8614
0.9958 0.3036 0.0274
0.5547 0.3966 0.8240
0.1760 0.4453 0.6034
0.8240 0.5547 0.3966
0.0274 0.9958 0.3036
0.6964 0.9726 0.0042
0.4453 0.6034 0.1760
0.6034 0.1760 0.4453
0.9726 0.0042 0.6964
0.0042 0.6964 0.9726
0.3966 0.8240 0.5547
0.3036 0.0274 0.9958
0.0000 0.0000 0.0000

=====

SiRh2O GGA-PBE relaxed; relative energy among the computed polymorphs = 16 meV/atom; E_form (uncorrected) = -0.195 eV/atom; E_tot = -25.86 eV per formula unit
1.0
0.0000 2.8850 2.8850
2.8850 0.0000 2.8850
2.8850 2.8850 0.0000
Rh O Si
2 1 1
direct
0.2500 0.2500 0.2500
0.7500 0.7500 0.7500
0.0000 0.0000 0.0000
0.5000 0.5000 0.5000

=====

ThSiRhO GGA-PBE relaxed; E_form (uncorrected) = -2.045 eV/atom; E_tot = -33.33 eV per formula unit
1.0
4.0605 0.0000 0.0000
0.0000 4.0605 0.0000
0.0000 0.0000 8.2055
Th O Si Rh
2 2 2 2
direct
0.5000 0.0000 0.1578
0.0000 0.5000 0.8422
0.5000 0.5000 0.0000
0.0000 0.0000 0.0000
0.5000 0.0000 0.6537
0.0000 0.5000 0.3463
0.0000 0.0000 0.5000
0.5000 0.5000 0.5000